# 1
# SrLaPr4 | Alexandria via LeMat-Bulk | PBE-GGA | relaxed
data_SrLaPr4
_chemical_formula_sum 'Sr1 La1 Pr4'
_cell_length_a 6.991
_cell_length_b 6.991
_cell_length_c 6.991
_cell_angle_alpha 60.00
_cell_angle_beta 60.00
_cell_angle_gamma 60.00
_symmetry_space_group_name_H-M 'P 1'
_symmetry_Int_Tables_number 1
_symmetry_space_group_name_Hall 'P 1'
loop_
_atom_site_label
_atom_site_type_symbol
_atom_site_fract_x
_atom_site_fract_y
_atom_site_fract_z
_atom_site_occupancy
Pr1 Pr 0.628 0.628 0.628 1
Pr2 Pr 0.628 0.628 0.117 1
Pr3 Pr 0.628 0.117 0.628 1
Pr4 Pr 0.117 0.628 0.628 1
La1 La 0.000 0.000 0.000 1
Sr1 Sr 0.250 0.250 0.250 1
# E = -4.08 eV per atom
# Volume = 40.3 Å³ per atom


# 2
# SrLa2Pr2 | Alexandria via LeMat-Bulk | PBE-GGA | relaxed
data_SrLa2Pr2
_chemical_formula_sum 'Sr1 La2 Pr2'
_cell_length_a 5.857
_cell_length_b 3.743
_cell_length_c 9.663
_cell_angle_alpha 90.03
_cell_angle_beta 107.64
_cell_angle_gamma 90.00
_symmetry_space_group_name_H-M 'P 1'
_symmetry_Int_Tables_number 1
_symmetry_space_group_name_Hall 'P 1'
loop_
_atom_site_label
_atom_site_type_symbol
_atom_site_fract_x
_atom_site_fract_y
_atom_site_fract_z
_atom_site_occupancy
Sr1 Sr 0.000 0.500 0.000 1
La1 La 0.379 0.000 0.758 1
La2 La 0.621 0.000 0.242 1
Pr1 Pr 0.203 0.500 0.405 1
Pr2 Pr 0.797 0.500 0.595 1
# E = -4.14 eV per atom
# Volume = 40.4 Å³ per atom


# 3
# SrLa15Pr4 | Alexandria via LeMat-Bulk | PBE-GGA | relaxed
data_SrLa15Pr4
_chemical_formula_sum 'Sr1 La15 Pr4'
_cell_length_a 5.296
_cell_length_b 5.296
_cell_length_c 26.550
_cell_angle_alpha 90.00
_cell_angle_beta 90.00
_cell_angle_gamma 90.00
_symmetry_space_group_name_H-M 'P 1'
_symmetry_Int_Tables_number 1
_symmetry_space_group_name_Hall 'P 1'
loop_
_atom_site_label
_atom_site_type_symbol
_atom_site_fract_x
_atom_site_fract_y
_atom_site_fract_z
_atom_site_occupancy
La1 La 0.500 0.500 0.203 1
La2 La 0.000 0.500 0.500 1
La3 La 0.500 0.500 0.401 1
La4 La 0.500 0.000 0.107 1
La5 La 0.000 0.500 0.302 1
La6 La 0.500 0.000 0.893 1
La7 La 0.500 0.500 0.599 1
La8 La 0.500 0.000 0.500 1
La9 La 0.000 0.500 0.893 1
La10 La 0.500 0.000 0.302 1
La11 La 0.000 0.500 0.107 1
La12 La 0.500 0.000 0.698 1
La13 La 0.500 0.500 0.000 1
La14 La 0.500 0.500 0.797 1
La15 La 0.000 0.500 0.698 1
Pr1 Pr 0.000 0.000 0.599 1
Pr2 Pr 0.000 0.000 0.401 1
Pr3 Pr 0.000 0.000 0.203 1
Pr4 Pr 0.000 0.000 0.797 1
Sr1 Sr 0.000 0.000 0.000 1
# E = -4.70 eV per atom
# Volume = 37.2 Å³ per atom


# 4
# Sr3LaPr2Te6 | Alexandria via LeMat-Bulk | PBE-GGA | relaxed
data_Sr3LaPr2Te6
_chemical_formula_sum 'Sr3 La1 Pr2 Te6'
_cell_length_a 7.951
_cell_length_b 7.951
_cell_length_c 8.147
_cell_angle_alpha 99.38
_cell_angle_beta 99.38
_cell_angle_gamma 119.94
_symmetry_space_group_name_H-M 'P 1'
_symmetry_Int_Tables_number 1
_symmetry_space_group_name_Hall 'P 1'
loop_
_atom_site_label
_atom_site_type_symbol
_atom_site_fract_x
_atom_site_fract_y
_atom_site_fract_z
_atom_site_occupancy
La1 La 0.000 0.000 0.000 1
Pr1 Pr 0.666 0.334 0.000 1
Pr2 Pr 0.334 0.666 0.000 1
Te1 Te 0.081 0.416 0.244 1
Te2 Te 0.416 0.081 0.244 1
Te3 Te 0.584 0.919 0.756 1
Te4 Te 0.747 0.747 0.244 1
Te5 Te 0.253 0.253 0.756 1
Te6 Te 0.919 0.584 0.756 1
Sr1 Sr 0.500 0.500 0.500 1
Sr2 Sr 0.833 0.167 0.500 1
Sr3 Sr 0.167 0.833 0.500 1
# Energy relative to the elements, uncorrected = -153.1 kJ/mol of atoms
# E = -4.79 eV per atom
# Volume = 35.2 Å³ per atom


# 5
# Sr3La3PrTe8 | Alexandria via LeMat-Bulk | PBE-GGA | relaxed
data_Sr3La3PrTe8
_chemical_formula_sum 'Sr3 La3 Pr1 Te8'
_cell_length_a 9.208
_cell_length_b 9.207
_cell_length_c 9.354
_cell_angle_alpha 119.48
_cell_angle_beta 90.00
_cell_angle_gamma 120.00
_symmetry_space_group_name_H-M 'P 1'
_symmetry_Int_Tables_number 1
_symmetry_space_group_name_Hall 'P 1'
loop_
_atom_site_label
_atom_site_type_symbol
_atom_site_fract_x
_atom_site_fract_y
_atom_site_fract_z
_atom_site_occupancy
Te1 Te 0.747 0.994 0.741 1
Te2 Te 0.748 0.496 0.745 1
Te3 Te 0.753 0.006 0.259 1
Te4 Te 0.752 0.505 0.258 1
Te5 Te 0.247 0.994 0.741 1
Te6 Te 0.248 0.495 0.742 1
Te7 Te 0.253 0.006 0.259 1
Te8 Te 0.252 0.504 0.255 1
Sr1 Sr 0.500 0.500 0.000 1
Sr2 Sr 0.000 0.500 0.000 1
Sr3 Sr 0.000 0.000 0.000 1
Pr1 Pr 0.000 0.000 0.500 1
La1 La 0.000 0.500 0.500 1
La2 La 0.500 0.000 0.500 1
La3 La 0.500 0.500 0.500 1
# Energy relative to the elements, uncorrected = -155.8 kJ/mol of atoms
# E = -4.93 eV per atom
# Volume = 37.7 Å³ per atom


# 6
# SrLa4Pr3Te8 | Alexandria via LeMat-Bulk | PBE-GGA | relaxed
data_SrLa4Pr3Te8
_chemical_formula_sum 'Sr1 La4 Pr3 Te8'
_cell_length_a 9.168
_cell_length_b 9.142
_cell_length_c 9.167
_cell_angle_alpha 120.08
_cell_angle_beta 120.01
_cell_angle_gamma 90.00
_symmetry_space_group_name_H-M 'P 1'
_symmetry_Int_Tables_number 1
_symmetry_space_group_name_Hall 'P 1'
loop_
_atom_site_label
_atom_site_type_symbol
_atom_site_fract_x
_atom_site_fract_y
_atom_site_fract_z
_atom_site_occupancy
Pr1 Pr 0.500 0.500 0.500 1
Pr2 Pr 0.000 0.500 0.500 1
Pr3 Pr 0.500 0.500 0.000 1
La1 La 0.000 0.000 0.500 1
La2 La 0.500 0.000 0.000 1
La3 La 0.500 0.000 0.500 1
La4 La 0.000 0.000 0.000 1
Te1 Te 0.252 0.251 0.002 1
Te2 Te 0.749 0.748 0.499 1
Te3 Te 0.749 0.251 0.499 1
Te4 Te 0.749 0.251 0.002 1
Te5 Te 0.251 0.749 0.998 1
Te6 Te 0.251 0.749 0.501 1
Te7 Te 0.748 0.749 0.998 1
Te8 Te 0.251 0.252 0.501 1
Sr1 Sr 0.000 0.500 0.000 1
# Energy relative to the elements, uncorrected = -148.8 kJ/mol of atoms
# E = -5.35 eV per atom
# Volume = 33.9 Å³ per atom


# 7
# SrLa3Pr2Te6 | Alexandria via LeMat-Bulk | PBE-GGA | relaxed
data_SrLa3Pr2Te6
_chemical_formula_sum 'Sr1 La3 Pr2 Te6'
_cell_length_a 4.578
_cell_length_b 9.194
_cell_length_c 10.244
_cell_angle_alpha 102.83
_cell_angle_beta 102.91
_cell_angle_gamma 90.00
_symmetry_space_group_name_H-M 'P 1'
_symmetry_Int_Tables_number 1
_symmetry_space_group_name_Hall 'P 1'
loop_
_atom_site_label
_atom_site_type_symbol
_atom_site_fract_x
_atom_site_fract_y
_atom_site_fract_z
_atom_site_occupancy
La1 La 0.833 0.171 0.667 1
La2 La 0.167 0.829 0.333 1
La3 La 0.500 0.500 0.000 1
Sr1 Sr 0.500 0.000 0.000 1
Te1 Te 0.665 0.582 0.330 1
Te2 Te 0.335 0.418 0.670 1
Te3 Te 0.002 0.253 0.005 1
Te4 Te 0.667 0.085 0.335 1
Te5 Te 0.333 0.915 0.665 1
Te6 Te 0.998 0.747 0.995 1
Pr1 Pr 0.829 0.658 0.658 1
Pr2 Pr 0.171 0.342 0.342 1
# Energy relative to the elements, uncorrected = -150.3 kJ/mol of atoms
# E = -5.30 eV per atom
# Volume = 34.1 Å³ per atom


# 8
# LaPr2Ta | Alexandria via LeMat-Bulk | PBE-GGA | relaxed
data_LaPr2Ta
_chemical_formula_sum 'La1 Pr2 Ta1'
_cell_length_a 3.332
_cell_length_b 3.332
_cell_length_c 12.572
_cell_angle_alpha 82.38
_cell_angle_beta 82.38
_cell_angle_gamma 60.00
_symmetry_space_group_name_H-M 'P 1'
_symmetry_Int_Tables_number 1
_symmetry_space_group_name_Hall 'P 1'
loop_
_atom_site_label
_atom_site_type_symbol
_atom_site_fract_x
_atom_site_fract_y
_atom_site_fract_z
_atom_site_occupancy
Ta1 Ta 0.000 0.000 0.000 1
La1 La 0.500 0.500 0.500 1
Pr1 Pr 0.079 0.079 0.762 1
Pr2 Pr 0.921 0.921 0.238 1
# E = -5.89 eV per atom
# Volume = 29.9 Å³ per atom


# 9
# La2PrTa | Alexandria via LeMat-Bulk | PBE-GGA | relaxed
data_La2PrTa
_chemical_formula_sum 'La2 Pr1 Ta1'
_cell_length_a 3.309
_cell_length_b 3.309
_cell_length_c 12.635
_cell_angle_alpha 82.48
_cell_angle_beta 82.48
_cell_angle_gamma 60.00
_symmetry_space_group_name_H-M 'P 1'
_symmetry_Int_Tables_number 1
_symmetry_space_group_name_Hall 'P 1'
loop_
_atom_site_label
_atom_site_type_symbol
_atom_site_fract_x
_atom_site_fract_y
_atom_site_fract_z
_atom_site_occupancy
La1 La 0.922 0.922 0.233 1
La2 La 0.078 0.078 0.767 1
Ta1 Ta 0.000 0.000 0.000 1
Pr1 Pr 0.500 0.500 0.500 1
# E = -5.97 eV per atom
# Volume = 29.6 Å³ per atom


# 10
# LaTb4Pr5 | Alexandria via LeMat-Bulk | PBE-GGA | relaxed
data_LaTb4Pr5
_chemical_formula_sum 'La1 Tb4 Pr5'
_cell_length_a 3.675
_cell_length_b 3.675
_cell_length_c 25.688
_cell_angle_alpha 90.00
_cell_angle_beta 90.00
_cell_angle_gamma 90.00
_symmetry_space_group_name_H-M 'P 1'
_symmetry_Int_Tables_number 1
_symmetry_space_group_name_Hall 'P 1'
loop_
_atom_site_label
_atom_site_type_symbol
_atom_site_fract_x
_atom_site_fract_y
_atom_site_fract_z
_atom_site_occupancy
Pr1 Pr 0.500 0.500 0.104 1
Pr2 Pr 0.500 0.500 0.698 1
Pr3 Pr 0.500 0.500 0.302 1
Pr4 Pr 0.500 0.500 0.896 1
Pr5 Pr 0.500 0.500 0.500 1
La1 La 0.000 0.000 0.000 1
Tb1 Tb 0.000 0.000 0.797 1
Tb2 Tb 0.000 0.000 0.203 1
Tb3 Tb 0.000 0.000 0.401 1
Tb4 Tb 0.000 0.000 0.599 1
# E = -4.72 eV per atom
# Volume = 34.7 Å³ per atom